A plane-wave DFT calculation with PBE-GGA was carried out for crystalline PaAlZn at its relaxed geometry.

abc: 4.7741 4.7741 4.7741
angles: 60.00 60.00 60.00
Closest atoms and distances in Å follow each position.
Element x y z (fractional)
Pa  0.0000  0.0000  0.0000  4 Zn 2.92, 4 Al 2.92
Al  0.2500  0.2500  0.2500  4 Pa 2.92
Zn  0.7500  0.7500  0.7500  4 Pa 2.92

Properties
The calculation puts the volume at 76.9 Å³/f.u. The total magnetization is 0.01 μB per formula unit. Its calculated density is 7.0 Mg/m³. Its total energy is -12.6 eV/cell.

A plane-wave DFT calculation with PBE-GGA was carried out for crystalline PuTcNi at its relaxed geometry.

abc: 4.1921 4.1921 4.1921
angles: 60.00 60.00 60.00
Closest atoms and distances in Å follow each position.
Element x y z (fractional)
Pu  0.0000  0.0000  0.0000  4 Ni 2.57
Tc  0.5000  0.5000  0.5000  4 Ni 2.57
Ni  0.7500  0.7500  0.7500  4 Pu 2.57, 4 Tc 2.57

Properties
The calculation puts the volume at 52.1 Å³/f.u. The total magnetization is 0.00 μB per formula unit. Its calculated density is 12.8 Mg/m³. Its total energy is -27.7 eV/cell.

A plane-wave DFT calculation with PBE-GGA was carried out for crystalline Er7Pt2S2 at its relaxed geometry.

abc: 8.9371 8.9371 8.9371
angles: 155.27 67.50 118.32
Closest atoms and distances in Å follow each position.
Element x y z (fractional)
Er  0.0000  0.0000  0.0000  3 S 2.96-3.19
Er  0.2851  0.4026  0.8825  2 Pt 2.86, 3 S 2.87-2.96
Er  0.2942  0.6137  0.6804  3 Pt 2.81-2.97, 1 S 2.95
Er  0.5201  0.4026  0.1175  2 Pt 2.86, 3 S 2.87-2.96
Er  0.6133  0.2451  0.3682  2 S 2.87, 2 Pt 2.92
Er  0.8768  0.2451  0.6318  2 S 2.87, 2 Pt 2.92
Er  0.9333  0.6137  0.3196  3 Pt 2.81-2.97, 1 S 2.95
Pt  0.1506  0.9108  0.2399  7 Er 2.81-2.97
Pt  0.6709  0.9108  0.7601  7 Er 2.81-2.97
S  0.2470  0.7470  0.5000  8 Er 2.95-2.96
S  0.6515  0.6515  0.0000  7 Er 2.87-3.19

Properties
The calculation puts the volume at 260.6 Å³/f.u. The total magnetization is 0.01 μB per formula unit. Its calculated density is 10.4 Mg/m³. Its total energy is -65.4 eV/cell.